Entry 1:
This record from Alexandria describes an optimized crystal structure of PuNiSn. The functional is GGA-PBE.

Cell lengths 3.2028, 3.2028, 11.7162 Å; angles 90.00, 90.00, 90.00 degrees
Last column: nearest neighbours and their distance in Å.
Positions (direct):
Pu1 0.0000 0.0000 0.0000  4 Ni 2.98, 4 Pu 3.20
Pu2 0.5000 0.5000 0.5000  4 Ni 2.98, 4 Pu 3.20
Ni1 0.0000 0.0000 0.3350  4 Sn 2.69, 4 Pu 2.98
Ni2 0.5000 0.5000 0.8350  4 Sn 2.69, 4 Pu 2.98
Sn1 0.0000 0.0000 0.7117  4 Ni 2.69
Sn2 0.5000 0.5000 0.2117  4 Ni 2.69

Values from the calculation:
For the spin magnetization, the calculation gives 11.07 μB/cell. The formation energy comes out at -0.53 eV/f.u. Its space-group type is I4mm (107). For the total energy, the calculation gives -8.217 eV/atom.

***

Entry 2:
This record from Alexandria describes an optimized crystal structure of V4Ni5Ru4. The functional is GGA-PBE.

Cell lengths 6.8517, 6.8517, 6.8517 Å; angles 94.38, 94.38, 147.93 degrees
Last column: nearest neighbours and their distance in Å.
Positions (direct):
V1 0.1394 0.7721 0.9115  6 Ni 2.49-2.68, 4 Ru 2.49-2.61
V2 0.2279 0.1394 0.3672  6 Ni 2.49-2.68, 4 Ru 2.49-2.61
V3 0.7721 0.8606 0.6328  6 Ni 2.49-2.68, 4 Ru 2.49-2.61
V4 0.8606 0.2279 0.0885  6 Ni 2.49-2.68, 4 Ru 2.49-2.61
Ni1 0.0000 0.0000 0.0000  4 V 2.49, 8 Ni 2.58
Ni2 0.3181 0.5467 0.8648  4 Ni 2.47-2.58, 5 V 2.57-2.68, 3 Ru 2.59-2.66
Ni3 0.4533 0.3181 0.7715  4 Ni 2.47-2.58, 5 V 2.57-2.68, 3 Ru 2.59-2.66
Ni4 0.5467 0.6819 0.2285  4 Ni 2.47-2.58, 5 V 2.57-2.68, 3 Ru 2.59-2.66
Ni5 0.6819 0.4533 0.1352  4 Ni 2.47-2.58, 5 V 2.57-2.68, 3 Ru 2.59-2.66
Ru1 0.0989 0.3764 0.4753  4 V 2.49-2.61, 3 Ni 2.59-2.66
Ru2 0.3764 0.9011 0.2776  4 V 2.49-2.61, 3 Ni 2.59-2.66
Ru3 0.6236 0.0989 0.7224  4 V 2.49-2.61, 3 Ni 2.59-2.66
Ru4 0.9011 0.6236 0.5247  4 V 2.49-2.61, 3 Ni 2.59-2.66

Values from the calculation:
For the spin magnetization, the calculation gives 0.00 μB/cell. The formation energy comes out at -1.96 eV/f.u. Its space-group type is I4/m (87). For the total energy, the calculation gives -8.035 eV/atom.

***

Look up the spin magnetization of the first one.
11.07 μB/cell

***

What did the first record say?
This record from Alexandria describes an optimized crystal structure of PuNiSn. The functional is GGA-PBE.

Cell lengths 3.2028, 3.2028, 11.7162 Å; angles 90.00, 90.00, 90.00 degrees
Last column: nearest neighbours and their distance in Å.
Positions (direct):
Pu1 0.0000 0.0000 0.0000  4 Ni 2.98, 4 Pu 3.20
Pu2 0.5000 0.5000 0.5000  4 Ni 2.98, 4 Pu 3.20
Ni1 0.0000 0.0000 0.3350  4 Sn 2.69, 4 Pu 2.98
Ni2 0.5000 0.5000 0.8350  4 Sn 2.69, 4 Pu 2.98
Sn1 0.0000 0.0000 0.7117  4 Ni 2.69
Sn2 0.5000 0.5000 0.2117  4 Ni 2.69

Values from the calculation:
For the spin magnetization, the calculation gives 11.07 μB/cell. The formation energy comes out at -0.53 eV/f.u. Its space-group type is I4mm (107). For the total energy, the calculation gives -8.217 eV/atom.

***

Which value of spin magnetization does entry 2 give?
0.00 μB/cell

***

Which value of spin magnetization does entry 1 give?
11.07 μB/cell